First-principles (PBE) data for a relaxed ZnTcHg2 crystal, as listed in the Alexandria database.

The structure in POSCAR format:
```
ZnTcHg2
1.0
5.254 0.001 0.000
2.075 4.827 0.000
-3.665 -2.414 2.890
Zn Hg Tc
1 2 1
Direct
0.750 0.250 0.500 Zn
0.250 0.750 0.500 Hg
0.000 0.000 0.000 Hg
0.500 0.500 0.000 Tc
```

Summary:
SG: I-4m2 (119)
DOS(E_F) in states/eV/cell: 3.46
Density in Mg/m³: 12.8
E_form in eV per atom: 0.530
Spin magnetization in μB/atom: 0.384

***

First-principles (PBE) data for a relaxed Zn2TcHg crystal, as listed in the Alexandria database.

The structure in POSCAR format:
```
Zn2TcHg
1.0
4.808 0.000 0.000
1.320 4.624 0.000
-3.064 -2.312 2.896
Tc Zn Hg
1 2 1
Direct
0.750 0.250 0.500 Tc
0.000 0.000 0.000 Zn
0.500 0.500 0.000 Zn
0.250 0.750 0.500 Hg
```

Summary:
SG: I4/mmm (139)
DOS(E_F) in states/eV/cell: 2.19
Density in Mg/m³: 11.1
E_form in eV per atom: 0.342
Spin magnetization in μB/atom: 0.210

***

First-principles (PBE) data for a relaxed Zn2TcHg crystal, as listed in the Alexandria database.

The structure in POSCAR format:
```
Zn2TcHg
1.0
-2.333 -1.217 -3.416
2.329 -0.769 -1.317
0.701 -5.314 1.415
Hg Zn Tc
1 2 1
Direct
0.000 0.444 0.484 Hg
0.000 0.201 0.975 Zn
0.500 0.065 0.246 Zn
0.500 0.790 0.794 Tc
```

Summary:
SG: Pm (6)
DOS(E_F) in states/eV/cell: 2.46
Density in Mg/m³: 11.1
E_form in eV per atom: 0.272
Spin magnetization in μB/atom: 0.000

***

First-principles (PBE) data for a relaxed Zn2TcHg crystal, as listed in the Alexandria database.

The structure in POSCAR format:
```
Zn2TcHg
1.0
4.141 0.000 0.000
0.000 4.142 0.000
0.000 0.000 3.689
Zn Tc Hg
2 1 1
Direct
0.000 0.000 0.000 Zn
0.500 0.500 0.000 Zn
0.000 0.500 0.500 Tc
0.500 0.000 0.500 Hg
```

Summary:
SG: P4/mmm (123)
DOS(E_F) in states/eV/cell: 2.12
Density in Mg/m³: 11.3
E_form in eV per atom: 0.181
Spin magnetization in μB/atom: 0.089

***

First-principles (PBE) data for a relaxed ZnTcHg2 crystal, as listed in the Alexandria database.

The structure in POSCAR format:
```
ZnTcHg2
1.0
4.291 0.000 0.000
0.000 2.861 0.000
0.000 1.413 5.947
Hg Zn Tc
2 1 1
Direct
0.500 0.178 0.264 Hg
0.000 0.816 0.991 Hg
0.500 0.964 0.703 Zn
0.000 0.542 0.542 Tc
```

Summary:
SG: Pm (6)
DOS(E_F) in states/eV/cell: 2.50
Density in Mg/m³: 12.8
E_form in eV per atom: 0.440
Spin magnetization in μB/atom: 0.000

***

First-principles (PBE) data for a relaxed ZnTcHg crystal, as listed in the Alexandria database.

The structure in POSCAR format:
```
ZnTcHg
1.0
-0.903 -6.564 3.418
1.520 -5.443 4.456
-2.363 0.245 1.600
Tc Zn Hg
1 1 1
Direct
0.325 0.325 0.675 Tc
0.674 0.674 0.326 Zn
0.001 0.001 0.999 Hg
```

Summary:
SG: Fmm2 (42)
DOS(E_F) in states/eV/cell: 2.63
Density in Mg/m³: 11.8
E_form in eV per atom: 0.445
Spin magnetization in μB/atom: 0.000